First-principles (PBE-GGA) data for LiPSe after structural relaxation, as listed in the Alexandria database.

a = 4.1232 Å, b = 3.5969 Å, c = 7.9520 Å
α = 90.00°, β = 101.42°, γ = 90.00°
Fractional coordinates of all 6 atoms:
Li1 0.0953 0.0000 0.3371
Li2 0.9047 0.5000 0.6629
P1 0.3310 0.1495 0.9546
P2 0.6690 0.6495 0.0454
Se1 0.4163 0.9935 0.6838
Se2 0.5837 0.4935 0.3162

calculated total energy: -24.90 eV/cell
total magnetic moment: 0.000 μB/cell
relative energy among the computed polymorphs: 1.1 kJ/mol of atoms
V: 116 Å³ per cell